Material: KMnMo
Method: DFT, PBE
State: optimized geometry

a = 3.1332 Å, b = 3.1332 Å, c = 7.7380 Å
α = 90.00°, β = 90.00°, γ = 120.00°
Fractional coordinates of all 3 atoms:
1 K 0.0000 0.0000 0.0000
2 Mn 0.6667 0.3333 0.3917
3 Mo 0.3333 0.6667 0.5832

Calculated values
- energy above the most stable polymorph in this dataset (meV per atom) = 35
- crystal system = trigonal

=====

Material: KMn2Mo
Method: DFT, PBE
State: optimized geometry

a = 2.6935 Å, b = 3.5464 Å, c = 8.3295 Å
α = 90.00°, β = 92.56°, γ = 90.00°
Fractional coordinates of all 4 atoms:
1 K 0.0000 0.0000 0.0000
2 Mn 0.0577 0.0000 0.4593
3 Mn 0.5412 0.5000 0.3423
4 Mo 0.5820 0.5000 0.6372

Calculated values
- energy above the most stable polymorph in this dataset (meV per atom) = 181
- crystal system = monoclinic

=====

Material: KMn2Mo
Method: DFT, PBE
State: optimized geometry

a = 5.1938 Å, b = 5.1938 Å, c = 2.7465 Å
α = 90.00°, β = 90.00°, γ = 90.00°
Fractional coordinates of all 4 atoms:
1 K 0.0000 0.0000 0.0000
2 Mn 0.0000 0.5000 0.5000
3 Mn 0.5000 0.0000 0.5000
4 Mo 0.5000 0.5000 0.0000

Calculated values
- energy above the most stable polymorph in this dataset (meV per atom) = 564
- crystal system = tetragonal

=====

Material: KMn2Mo
Method: DFT, PBE
State: optimized geometry

a = 5.0118 Å, b = 5.0118 Å, c = 5.0118 Å
α = 130.38°, β = 115.11°, γ = 85.85°
Fractional coordinates of all 4 atoms:
1 K 0.0000 0.0000 0.0000
2 Mn 0.2958 0.7958 0.5000
3 Mn 0.7042 0.2042 0.5000
4 Mo 0.5000 0.5000 0.0000

Calculated values
- energy above the most stable polymorph in this dataset (meV per atom) = 655
- crystal system = orthorhombic

=====

Material: KMn2Mo
Method: DFT, PBE
State: optimized geometry

a = 3.1723 Å, b = 3.1723 Å, c = 8.3281 Å
α = 90.00°, β = 90.00°, γ = 90.22°
Fractional coordinates of all 4 atoms:
1 K 0.0000 0.0000 0.0000
2 Mn 0.5000 0.5000 0.3423
3 Mn 0.5000 0.5000 0.6577
4 Mo 0.0000 0.0000 0.5000

Calculated values
- energy above the most stable polymorph in this dataset (meV per atom) = 0
- crystal system = orthorhombic

=====

Material: KMnMo
Method: DFT, PBE
State: optimized geometry

a = 8.3349 Å, b = 8.1595 Å, c = 2.8777 Å
α = 83.41°, β = 76.53°, γ = 20.06°
Fractional coordinates of all 3 atoms:
1 K 0.0000 0.0000 0.0000
2 Mn 0.3093 0.3093 0.6907
3 Mo 0.6966 0.6966 0.3034

Calculated values
- energy above the most stable polymorph in this dataset (meV per atom) = 30
- crystal system = orthorhombic

=====

Material: KMn2Mo
Method: DFT, PBE
State: optimized geometry

a = 6.0950 Å, b = 6.0950 Å, c = 6.0950 Å
α = 154.62°, β = 128.29°, γ = 58.45°
Fractional coordinates of all 4 atoms:
1 K 0.0000 0.0000 0.0000
2 Mn 0.2842 0.7842 0.5000
3 Mn 0.4947 0.4947 0.0000
4 Mo 0.7081 0.2081 0.5000

Calculated values
- energy above the most stable polymorph in this dataset (meV per atom) = 504
- crystal system = orthorhombic

=====

Material: KMn2Mo
Method: DFT, PBE
State: optimized geometry

a = 10.0548 Å, b = 10.0548 Å, c = 10.0548 Å
α = 17.36°, β = 17.36°, γ = 17.36°
Fractional coordinates of all 4 atoms:
1 K 0.0000 0.0000 0.0000
2 Mn 0.2307 0.2307 0.2307
3 Mn 0.7693 0.7693 0.7693
4 Mo 0.5000 0.5000 0.5000

Calculated values
- energy above the most stable polymorph in this dataset (meV per atom) = 235
- crystal system = trigonal

=====

Material: KMn2Mo
Method: DFT, PBE
State: optimized geometry

a = 4.3936 Å, b = 4.3936 Å, c = 7.4929 Å
α = 93.33°, β = 93.33°, γ = 37.79°
Fractional coordinates of all 4 atoms:
1 K 0.0000 0.0000 0.0000
2 Mn 0.2378 0.2378 0.6454
3 Mn 0.7622 0.7622 0.3546
4 Mo 0.5000 0.5000 0.5000

Calculated values
- energy above the most stable polymorph in this dataset (meV per atom) = 175
- crystal system = monoclinic

=====

Material: K4MnMo
Method: DFT, PBE
State: optimized geometry

a = 7.2644 Å, b = 7.2644 Å, c = 7.2644 Å
α = 60.00°, β = 60.00°, γ = 60.00°
Fractional coordinates of all 6 atoms:
1 K 0.1253 0.1253 0.1253
2 K 0.1253 0.1253 0.6241
3 K 0.1253 0.6241 0.1253
4 K 0.6241 0.1253 0.1253
5 Mn 0.7500 0.7500 0.7500
6 Mo 0.5000 0.5000 0.5000

Calculated values
- crystal system = cubic

=====

Material: KMn2Mo
Method: DFT, PBE
State: optimized geometry

a = 4.4559 Å, b = 4.4559 Å, c = 4.4559 Å
α = 60.00°, β = 60.00°, γ = 60.00°
Fractional coordinates of all 4 atoms:
1 K 0.0000 0.0000 0.0000
2 Mn 0.2500 0.2500 0.2500
3 Mn 0.7500 0.7500 0.7500
4 Mo 0.5000 0.5000 0.5000

Calculated values
- energy above the most stable polymorph in this dataset (meV per atom) = 1070
- crystal system = cubic

=====

Material: KMnNb2Mo
Method: DFT, PBE
State: optimized geometry

a = 4.8959 Å, b = 4.8959 Å, c = 5.2134 Å
α = 90.00°, β = 90.00°, γ = 90.00°
Fractional coordinates of all 5 atoms:
1 K 0.0000 0.0000 0.0000
2 Mn 0.5000 0.5000 0.0000
3 Nb 0.0000 0.5000 0.5000
4 Nb 0.5000 0.0000 0.5000
5 Mo 0.5000 0.5000 0.5000

Calculated values
- crystal system = tetragonal

=====

The total magnetic moment results, record by record, are as follows: 1.20 0.97 6.63 5.01 5.51 2.45 5.64 5.70 5.87 9.71 0.00 2.45 μB per formula unit.
The volume results, record by record, are as follows: 65.8 79.5 74.1 83.0 83.8 62.0 75.7 79.0 88.5 271.1 62.6 125.0 Å³ per cell.
The energy relative to the elements results, record by record, are as follows: 1.00 0.81 1.19 1.28 0.63 0.99 1.13 0.86 0.80 1.38 1.70 1.29 eV/atom.